1.
This record from the Alexandria database describes PmNdNiCl after structural relaxation. The functional is PBE.

Results
energy relative to the elements, uncorrected = -817 meV per atom
SG = Cm, No. 8

CIF file:
```
data_PmNdNiCl
_symmetry_space_group_name_H-M 'P 1'
_symmetry_Int_Tables_number 1
_symmetry_space_group_name_Hall 'P 1'
_cell_length_a 3.7911
_cell_length_b 3.7911
_cell_length_c 8.3760
_cell_angle_alpha 102.99
_cell_angle_beta 102.99
_cell_angle_gamma 60.18
loop_
_atom_site_label
_atom_site_type_symbol
_atom_site_fract_x
_atom_site_fract_y
_atom_site_fract_z
Pm1 Pm 0.0000 0.0000 0.0000
Nd1 Nd 0.1462 0.1462 0.4391
Ni1 Ni 0.7392 0.7392 0.2195
Cl1 Cl 0.5732 0.5732 0.7197
```


2.
This record from the Alexandria database describes PrNdNiCl after structural relaxation. The functional is PBE.

Results
energy relative to the elements, uncorrected = -879 meV per atom
SG = R3m, No. 160

CIF file:
```
data_PrNdNiCl
_symmetry_space_group_name_H-M 'P 1'
_symmetry_Int_Tables_number 1
_symmetry_space_group_name_Hall 'P 1'
_cell_length_a 7.9552
_cell_length_b 7.9552
_cell_length_c 7.9552
_cell_angle_alpha 29.26
_cell_angle_beta 29.26
_cell_angle_gamma 29.26
loop_
_atom_site_label
_atom_site_type_symbol
_atom_site_fract_x
_atom_site_fract_y
_atom_site_fract_z
Pr1 Pr 0.0000 0.0000 0.0000
Nd1 Nd 0.8024 0.8024 0.8024
Ni1 Ni 0.4021 0.4021 0.4021
Cl1 Cl 0.2323 0.2323 0.2323
```


Look up the energy relative to the elements, uncorrected of the second one. -879 meV per atom